*A*
Here is an optimized crystal structure of NaLaTa2 from Alexandria via LeMat-Bulk. Energies are from PBE-GGA.

a b c (Å): 6.492 6.492 6.492
angles (deg): 101.00 101.00 128.19
Element x y z (fractional)
Na (0.000, 0.000, 0.000)
Na (0.750, 0.250, 0.500)
La (0.250, 0.750, 0.500)
La (0.500, 0.500, 0.000)
Ta (0.114, 0.625, 0.989)
Ta (0.375, 0.364, 0.489)
Ta (0.636, 0.125, 0.011)
Ta (0.875, 0.886, 0.511)

Its crystal system is tetragonal. As for the magnetization: 0.00 μB/f.u.



*B*
Here is an optimized crystal structure of NaLaTa2 from Alexandria via LeMat-Bulk. Energies are from PBE-GGA.

a b c (Å): 5.044 5.044 5.044
angles (deg): 60.00 60.00 60.00
Element x y z (fractional)
Na (0.000, 0.000, 0.000)
La (0.500, 0.500, 0.500)
Ta (0.250, 0.250, 0.250)
Ta (0.750, 0.750, 0.750)

Its crystal system is cubic. As for the magnetization: 0.00 μB/f.u.



Which structure loses on stability? *A* does.



*A*
Here is an optimized crystal structure of Na2LaTc from Alexandria via LeMat-Bulk. Energies are from PBE-GGA.

a b c (Å): 5.208 5.208 5.208
angles (deg): 60.00 60.00 60.00
Element x y z (fractional)
Na (0.250, 0.250, 0.250)
Na (0.750, 0.750, 0.750)
La (0.000, 0.000, 0.000)
Tc (0.500, 0.500, 0.500)

Its crystal system is cubic. As for the magnetization: 1.46 μB/f.u.



*B*
Here is an optimized crystal structure of Na2LaTc from Alexandria via LeMat-Bulk. Energies are from PBE-GGA.

a b c (Å): 12.697 12.697 12.697
angles (deg): 161.63 161.63 26.09
Element x y z (fractional)
Na (0.102, 0.125, 0.477)
Na (0.375, 0.898, 0.023)
Na (0.648, 0.625, 0.523)
Na (0.875, 0.352, 0.977)
La (0.250, 0.750, 0.500)
La (0.500, 0.500, 0.000)
Tc (0.000, 0.000, 0.000)
Tc (0.750, 0.250, 0.500)

Its crystal system is tetragonal. As for the magnetization: 0.00 μB/f.u.



Which structure loses on stability? *A* does.



*A*
Here is an optimized crystal structure of NaLa2Tc from Alexandria via LeMat-Bulk. Energies are from PBE-GGA.

a b c (Å): 3.549 3.549 9.610
angles (deg): 90.00 90.00 90.00
Element x y z (fractional)
Na (0.000, 0.000, 0.000)
La (0.500, 0.500, 0.320)
La (0.500, 0.500, 0.680)
Tc (0.000, 0.000, 0.500)

Its crystal system is tetragonal. As for the magnetization: 0.00 μB/f.u.



*B*
Here is an optimized crystal structure of NaLa2Tc from Alexandria via LeMat-Bulk. Energies are from PBE-GGA.

a b c (Å): 9.721 9.721 9.721
angles (deg): 24.64 24.64 24.64
Element x y z (fractional)
Na (0.000, 0.000, 0.000)
La (0.222, 0.222, 0.222)
La (0.447, 0.447, 0.447)
Tc (0.835, 0.835, 0.835)

Its crystal system is trigonal. As for the magnetization: 0.00 μB/f.u.



*C*
Here is an optimized crystal structure of NaLa2Tc from Alexandria via LeMat-Bulk. Energies are from PBE-GGA.

a b c (Å): 5.266 5.266 5.266
angles (deg): 60.00 60.00 60.00
Element x y z (fractional)
Na (0.000, 0.000, 0.000)
La (0.250, 0.250, 0.250)
La (0.750, 0.750, 0.750)
Tc (0.500, 0.500, 0.500)

Its crystal system is cubic. As for the magnetization: 0.00 μB/f.u.



Which structure loses on stability? *C* does.



*A*
Here is an optimized crystal structure of NaLa2Te2 from Alexandria via LeMat-Bulk. Energies are from PBE-GGA.

a b c (Å): 8.974 8.974 4.086
angles (deg): 90.00 90.00 90.00
Element x y z (fractional)
Na (0.000, 0.000, 0.000)
Na (0.500, 0.500, 0.000)
La (0.147, 0.353, 0.000)
La (0.353, 0.853, 0.000)
La (0.647, 0.147, 0.000)
La (0.853, 0.647, 0.000)
Te (0.150, 0.650, 0.500)
Te (0.350, 0.150, 0.500)
Te (0.650, 0.850, 0.500)
Te (0.850, 0.350, 0.500)

Its crystal system is tetragonal. As for the magnetization: 0.18 μB/f.u.



*B*
Here is an optimized crystal structure of NaLa2Te2 from Alexandria via LeMat-Bulk. Energies are from PBE-GGA.

a b c (Å): 8.685 8.685 4.239
angles (deg): 90.00 90.00 90.00
Element x y z (fractional)
Na (0.000, 0.000, 0.000)
Na (0.500, 0.500, 0.000)
La (0.152, 0.348, 0.500)
La (0.348, 0.848, 0.500)
La (0.652, 0.152, 0.500)
La (0.848, 0.652, 0.500)
Te (0.148, 0.648, 0.000)
Te (0.352, 0.148, 0.000)
Te (0.648, 0.852, 0.000)
Te (0.852, 0.352, 0.000)

Its crystal system is tetragonal. As for the magnetization: 0.00 μB/f.u.



*C*
Here is an optimized crystal structure of NaLa2Te2 from Alexandria via LeMat-Bulk. Energies are from PBE-GGA.

a b c (Å): 7.725 7.725 7.725
angles (deg): 136.36 136.36 63.42
Element x y z (fractional)
Na (0.000, 0.000, 0.000)
La (0.250, 0.750, 0.500)
La (0.750, 0.250, 0.500)
Te (0.351, 0.351, 0.000)
Te (0.649, 0.649, 0.000)

Its crystal system is tetragonal. As for the magnetization: 0.00 μB/f.u.



Which structure loses on stability? *C* does.



*A*
Here is an optimized crystal structure of NaLa2Th from Alexandria via LeMat-Bulk. Energies are from PBE-GGA.

a b c (Å): 13.154 13.154 13.154
angles (deg): 15.81 15.81 15.81
Element x y z (fractional)
Na (0.000, 0.000, 0.000)
La (0.093, 0.093, 0.093)
La (0.907, 0.907, 0.907)
Th (0.500, 0.500, 0.500)

Its crystal system is trigonal. As for the magnetization: 0.00 μB/f.u.



*B*
Here is an optimized crystal structure of NaLa2Th from Alexandria via LeMat-Bulk. Energies are from PBE-GGA.

a b c (Å): 3.639 3.639 10.863
angles (deg): 90.00 90.00 90.00
Element x y z (fractional)
Na (0.000, 0.000, 0.000)
La (0.500, 0.500, 0.278)
La (0.500, 0.500, 0.722)
Th (0.000, 0.000, 0.500)

Its crystal system is tetragonal. As for the magnetization: 0.00 μB/f.u.



Which structure loses on stability? *A* does.



*A*
Here is an optimized crystal structure of NaLa2Ti from Alexandria via LeMat-Bulk. Energies are from PBE-GGA.

a b c (Å): 6.944 6.944 6.944
angles (deg): 103.30 103.30 122.67
Element x y z (fractional)
Na (0.000, 0.000, 0.000)
Na (0.750, 0.250, 0.500)
La (0.141, 0.625, 0.016)
La (0.375, 0.391, 0.516)
La (0.609, 0.125, 0.984)
La (0.875, 0.859, 0.484)
Ti (0.250, 0.750, 0.500)
Ti (0.500, 0.500, 0.000)

Its crystal system is tetragonal. As for the magnetization: 2.78 μB/f.u.



*B*
Here is an optimized crystal structure of NaLa2Ti from Alexandria via LeMat-Bulk. Energies are from PBE-GGA.

a b c (Å): 5.542 5.542 5.542
angles (deg): 60.00 60.00 60.00
Element x y z (fractional)
Na (0.000, 0.000, 0.000)
La (0.250, 0.250, 0.250)
La (0.750, 0.750, 0.750)
Ti (0.500, 0.500, 0.500)

Its crystal system is cubic. As for the magnetization: 2.41 μB/f.u.



Which structure loses on stability? *A* does.



*A*
Here is an optimized crystal structure of Na3La2Tl4 from Alexandria via LeMat-Bulk. Energies are from PBE-GGA.

a b c (Å): 5.473 5.473 10.462
angles (deg): 90.18 90.18 59.92
Element x y z (fractional)
Na (0.000, 0.000, 0.000)
Na (0.334, 0.334, 0.434)
Na (0.666, 0.666, 0.566)
La (0.333, 0.333, 0.801)
La (0.667, 0.667, 0.199)
Tl (0.001, 0.001, 0.338)
Tl (0.334, 0.334, 0.118)
Tl (0.666, 0.666, 0.882)
Tl (0.999, 0.999, 0.662)

Its crystal system is monoclinic. As for the magnetization: 0.00 μB/f.u.



*B*
Here is an optimized crystal structure of Na3La2Tl4 from Alexandria via LeMat-Bulk. Energies are from PBE-GGA.

a b c (Å): 10.208 10.208 8.594
angles (deg): 90.00 90.00 142.23
Element x y z (fractional)
Na (0.000, 0.000, 0.000)
Na (0.018, 0.482, 0.250)
Na (0.482, 0.018, 0.750)
Na (0.500, 0.500, 0.500)
Na (0.518, 0.982, 0.250)
Na (0.982, 0.518, 0.750)
La (0.094, 0.906, 0.402)
La (0.406, 0.594, 0.902)
La (0.594, 0.406, 0.098)
La (0.906, 0.094, 0.598)
Tl (0.155, 0.845, 0.035)
Tl (0.184, 0.316, 0.250)
Tl (0.316, 0.184, 0.750)
Tl (0.345, 0.655, 0.535)
Tl (0.655, 0.345, 0.465)
Tl (0.684, 0.816, 0.250)
Tl (0.816, 0.684, 0.750)
Tl (0.845, 0.155, 0.965)

Its crystal system is orthorhombic. As for the magnetization: 0.00 μB/f.u.



Which structure loses on stability? *B* does.



*A*
Here is an optimized crystal structure of NaLaTl2 from Alexandria via LeMat-Bulk. Energies are from PBE-GGA.

a b c (Å): 5.470 5.470 4.032
angles (deg): 90.00 90.00 90.00
Element x y z (fractional)
Na (0.000, 0.000, 0.000)
La (0.500, 0.500, 0.000)
Tl (0.000, 0.500, 0.500)
Tl (0.500, 0.000, 0.500)

Its crystal system is tetragonal. As for the magnetization: 0.00 μB/f.u.



*B*
Here is an optimized crystal structure of NaLaTl2 from Alexandria via LeMat-Bulk. Energies are from PBE-GGA.

a b c (Å): 11.263 11.263 11.263
angles (deg): 18.20 18.20 18.20
Element x y z (fractional)
Na (0.000, 0.000, 0.000)
La (0.833, 0.833, 0.833)
Tl (0.253, 0.253, 0.253)
Tl (0.414, 0.414, 0.414)

Its crystal system is trigonal. As for the magnetization: 0.00 μB/f.u.



*C*
Here is an optimized crystal structure of NaLaTl2 from Alexandria via LeMat-Bulk. Energies are from PBE-GGA.

a b c (Å): 5.497 5.497 5.497
angles (deg): 60.00 60.00 60.00
Element x y z (fractional)
Na (0.000, 0.000, 0.000)
La (0.500, 0.500, 0.500)
Tl (0.250, 0.250, 0.250)
Tl (0.750, 0.750, 0.750)

Its crystal system is cubic. As for the magnetization: 0.00 μB/f.u.



Which structure loses on stability? *B* does.



*A*
Here is an optimized crystal structure of NaLaTl from Alexandria via LeMat-Bulk. Energies are from PBE-GGA.

a b c (Å): 5.447 5.447 3.499
angles (deg): 90.00 90.00 120.00
Element x y z (fractional)
Na (0.000, 0.000, 0.000)
La (0.333, 0.667, 0.501)
Tl (0.667, 0.333, 0.002)

Its crystal system is trigonal. As for the magnetization: 0.23 μB/f.u.



*B*
Here is an optimized crystal structure of NaLaTl from Alexandria via LeMat-Bulk. Energies are from PBE-GGA.

a b c (Å): 5.719 5.719 6.699
angles (deg): 90.00 90.00 120.00
Element x y z (fractional)
Na (0.000, 0.000, 0.000)
Na (0.000, 0.000, 0.500)
La (0.333, 0.667, 0.250)
La (0.667, 0.333, 0.750)
Tl (0.333, 0.667, 0.750)
Tl (0.667, 0.333, 0.250)

Its crystal system is hexagonal. As for the magnetization: 0.00 μB/f.u.



Which structure loses on stability? *A* does.



*A*
Here is an optimized crystal structure of NaLaTm from Alexandria via LeMat-Bulk. Energies are from PBE-GGA.

a b c (Å): 3.580 3.580 9.322
angles (deg): 90.00 90.00 120.00
Element x y z (fractional)
Na (0.000, 0.000, 0.000)
La (0.333, 0.667, 0.641)
Tm (0.667, 0.333, 0.339)

Its crystal system is trigonal. As for the magnetization: 0.00 μB/f.u.



*B*
Here is an optimized crystal structure of NaLaTm from Alexandria via LeMat-Bulk. Energies are from PBE-GGA.

a b c (Å): 8.533 8.533 8.533
angles (deg): 155.75 155.75 34.56
Element x y z (fractional)
Na (0.000, 0.000, 0.000)
La (0.681, 0.681, 0.000)
Tm (0.331, 0.331, 0.000)

Its crystal system is tetragonal. As for the magnetization: 0.42 μB/f.u.



*C*
Here is an optimized crystal structure of NaLaTm from Alexandria via LeMat-Bulk. Energies are from PBE-GGA.

a b c (Å): 5.698 5.698 7.295
angles (deg): 90.01 90.01 60.00
Element x y z (fractional)
Na (0.000, 0.000, 0.000)
Na (0.667, 0.667, 0.003)
La (0.333, 0.333, 0.270)
La (0.333, 0.333, 0.733)
Tm (0.666, 0.666, 0.502)
Tm (0.999, 0.999, 0.501)

Its crystal system is monoclinic. As for the magnetization: 0.00 μB/f.u.



Which structure loses on stability? *B* does.



*A*
Here is an optimized crystal structure of NaLa2Tm from Alexandria via LeMat-Bulk. Energies are from PBE-GGA.

a b c (Å): 3.564 3.564 11.167
angles (deg): 90.00 90.00 90.00
Element x y z (fractional)
Na (0.000, 0.000, 0.000)
La (0.500, 0.500, 0.270)
La (0.500, 0.500, 0.730)
Tm (0.000, 0.000, 0.500)

Its crystal system is tetragonal. As for the magnetization: 0.00 μB/f.u.



*B*
Here is an optimized crystal structure of NaLa2Tm from Alexandria via LeMat-Bulk. Energies are from PBE-GGA.

a b c (Å): 6.041 6.041 3.785
angles (deg): 90.00 90.00 90.00
Element x y z (fractional)
Na (0.000, 0.000, 0.000)
La (0.000, 0.500, 0.500)
La (0.500, 0.000, 0.500)
Tm (0.500, 0.500, 0.000)

Its crystal system is tetragonal. As for the magnetization: 0.00 μB/f.u.



Which structure loses on stability? *B* does.



*A*
Here is an optimized crystal structure of NaLaW2 from Alexandria via LeMat-Bulk. Energies are from PBE-GGA.

a b c (Å): 4.868 4.868 4.868
angles (deg): 60.00 60.00 60.00
Element x y z (fractional)
Na (0.000, 0.000, 0.000)
La (0.500, 0.500, 0.500)
W (0.250, 0.250, 0.250)
W (0.750, 0.750, 0.750)

Its crystal system is cubic. As for the magnetization: 0.00 μB/f.u.



*B*
Here is an optimized crystal structure of NaLaW2 from Alexandria via LeMat-Bulk. Energies are from PBE-GGA.

a b c (Å): 6.439 6.439 6.439
angles (deg): 99.49 99.49 132.09
Element x y z (fractional)
Na (0.000, 0.000, 0.000)
Na (0.750, 0.250, 0.500)
La (0.250, 0.750, 0.500)
La (0.500, 0.500, 0.000)
W (0.092, 0.125, 0.467)
W (0.375, 0.908, 0.033)
W (0.658, 0.625, 0.533)
W (0.875, 0.342, 0.967)

Its crystal system is tetragonal. As for the magnetization: 0.00 μB/f.u.



Which structure loses on stability? *B* does.